No. 1
The following is a PBE calculation of an optimized crystal structure of Pu5Cu2Au5, from the Alexandria database.

Calculated values
E_tot	-0.3052	hartree per atom
total moment	17.7	μB per cell
formation energy from the elements	-0.29	eV/atom
DOS at the Fermi energy	53.60	states/eV per cell

Unit cell a=4.4345 b=8.1026 c=8.2418 alpha=93.15 beta=74.39 gamma=74.12
Last column: magnetic moment on the atom in μB.
Positions (direct):
Au1 0.6949 0.2414 0.3688  0.02
Pu1 0.3601 0.9613 0.3185  5.46
Pu2 0.3073 0.3007 0.0848  5.36
Au2 0.9440 0.2972 0.8148  0.02
Au3 0.3051 0.7586 0.6312  0.02
Pu3 0.0000 0.5000 0.5000  -5.18
Au4 0.0560 0.7028 0.1852  0.02
Pu4 0.6399 0.0387 0.6815  5.46
Au5 0.0000 0.0000 0.0000  0.04
Cu1 0.5943 0.5513 0.2601  0.01
Cu2 0.4057 0.4487 0.7399  0.01
Pu5 0.6927 0.6993 0.9152  5.36

No. 2
The following is a PBE calculation of an optimized crystal structure of PuCuRhAu, from the Alexandria database.

Calculated values
E_tot	-0.2717	hartree per atom
total moment	4.8	μB per cell
formation energy from the elements	-0.13	eV/atom
DOS at the Fermi energy	8.19	states/eV per cell

Unit cell a=4.6950 b=4.6950 c=4.6950 alpha=60.00 beta=60.00 gamma=60.00
Last column: magnetic moment on the atom in μB.
Positions (direct):
Cu1 0.2500 0.2500 0.2500  -0.01
Pu1 0.7500 0.7500 0.7500  4.94
Au1 0.5000 0.5000 0.5000  -0.01
Rh1 0.0000 0.0000 0.0000  -0.30

No. 3
The following is a PBE calculation of an optimized crystal structure of PuCuSbAu, from the Alexandria database.

Calculated values
E_tot	-0.2454	hartree per atom
total moment	5.4	μB per cell
formation energy from raw total energies	-0.220	eV per atom
DOS at the Fermi energy	14.83	states/eV per cell

Unit cell a=4.9289 b=4.9289 c=4.9289 alpha=60.00 beta=60.00 gamma=60.00
Last column: magnetic moment on the atom in μB.
Positions (direct):
Cu1 0.2500 0.2500 0.2500  -0.01
Au1 0.7500 0.7500 0.7500  -0.01
Sb1 0.0000 0.0000 0.0000  -0.03
Pu1 0.5000 0.5000 0.5000  5.24

No. 4
The following is a PBE calculation of an optimized crystal structure of Pu2Cu4Si3Au, from the Alexandria database.

Calculated values
E_tot	-0.2477	hartree per atom
total moment	10.6	μB per cell
formation energy from raw total energies	-0.280	eV per atom
DOS at the Fermi energy	24.34	states/eV per cell

Unit cell a=4.0564 b=4.0564 c=10.2194 alpha=90.00 beta=90.00 gamma=90.00
Last column: magnetic moment on the atom in μB.
Positions (direct):
Cu1 0.5000 0.0000 0.6481  0.01
Pu1 0.5000 0.0000 0.2412  5.13
Cu2 0.5000 0.5000 0.0000  -0.01
Cu3 0.0000 0.0000 0.0000  -0.02
Si1 0.0000 0.5000 0.1277  -0.05
Si2 0.5000 0.0000 0.8723  -0.05
Cu4 0.0000 0.5000 0.3519  0.01
Pu2 0.0000 0.5000 0.7588  5.13
Si3 0.0000 0.0000 0.5000  -0.04
Au1 0.5000 0.5000 0.5000  0.02

No. 5
The following is a PBE calculation of an optimized crystal structure of PuCuSiAu6, from the Alexandria database.

Calculated values
E_tot	-0.1806	hartree per atom
total moment	11.3	μB per cell
formation energy from raw total energies	-0.080	eV per atom
DOS at the Fermi energy	29.81	states/eV per cell

Unit cell a=7.1832 b=8.8755 c=7.9710 alpha=123.83 beta=116.78 gamma=90.00
Last column: magnetic moment on the atom in μB.
Positions (direct):
Cu1 0.5000 0.0000 0.5000  0.00
Au1 0.6729 0.3778 0.7446  0.01
Au2 0.9283 0.1332 0.2554  0.01
Au3 0.9973 0.2473 0.9946  -0.01
Si1 0.5000 0.5000 0.0000  0.01
Au4 0.4137 0.1637 0.8275  0.00
Au5 0.6729 0.8668 0.7446  0.01
Au6 0.5863 0.8363 0.1725  0.00
Cu2 0.0000 0.0000 0.5000  0.00
Pu1 0.2922 0.5422 0.5844  5.30
Au7 0.9283 0.6222 0.2554  0.01
Au8 0.3271 0.6222 0.2554  0.01
Au9 0.0717 0.3778 0.7446  0.01
Au10 0.0027 0.7527 0.0054  -0.01
Si2 0.5000 0.0000 0.0000  0.01
Au11 0.0717 0.8668 0.7446  0.01
Pu2 0.7078 0.4578 0.4156  5.30
Au12 0.3271 0.1332 0.2554  0.01

No. 6
The following is a PBE calculation of an optimized crystal structure of Pu2CuSi3Au4, from the Alexandria database.

Calculated values
E_tot	-0.2404	hartree per atom
total moment	11.0	μB per cell
formation energy from raw total energies	-0.327	eV per atom
DOS at the Fermi energy	29.24	states/eV per cell

Unit cell a=4.3457 b=4.3457 c=10.1788 alpha=90.00 beta=90.00 gamma=90.00
Last column: magnetic moment on the atom in μB.
Positions (direct):
Au1 0.5000 0.0000 0.6270  0.01
Au2 0.0000 0.0000 0.0000  -0.01
Au3 0.5000 0.5000 0.0000  -0.01
Pu1 0.0000 0.5000 0.7457  5.30
Cu1 0.5000 0.5000 0.5000  -0.01
Si1 0.0000 0.0000 0.5000  -0.03
Pu2 0.5000 0.0000 0.2543  5.30
Si2 0.0000 0.5000 0.1365  -0.03
Au4 0.0000 0.5000 0.3730  0.01
Si3 0.5000 0.0000 0.8635  -0.03

- Which of these has the lowest E_tot?
  Pu5Cu2Au5